[1]
{"formula": "CePrAgSb", "functional": "PBE-GGA", "state": "relaxed", "volume_a3_per_cell": 446.3, "formation_energy_uncorrected_ev_per_atom": -0.533, "space_group": "F-43m", "mass_density_g_cm3": 7.60, "lattice": [[7.6418, 0.0000, 0.0000], [0.0000, 7.6418, 0.0000], [0.0000, 0.0000, 7.6418]], "species": ["Ce", "Ce", "Ce", "Ce", "Pr", "Pr", "Pr", "Pr", "Ag", "Ag", "Ag", "Ag", "Sb", "Sb", "Sb", "Sb"], "fractional_positions": [[0.0000, 0.0000, 0.0000], [0.0000, 0.5000, 0.5000], [0.5000, 0.0000, 0.5000], [0.5000, 0.5000, 0.0000], [0.0000, 0.0000, 0.5000], [0.0000, 0.5000, 0.0000], [0.5000, 0.0000, 0.0000], [0.5000, 0.5000, 0.5000], [0.2500, 0.2500, 0.2500], [0.2500, 0.7500, 0.7500], [0.7500, 0.2500, 0.7500], [0.7500, 0.7500, 0.2500], [0.2500, 0.2500, 0.7500], [0.2500, 0.7500, 0.2500], [0.7500, 0.2500, 0.2500], [0.7500, 0.7500, 0.7500]]}

[2]
{"formula": "VFe2Ru2", "functional": "PBE-GGA", "state": "relaxed", "formation_energy_kj_per_mol_fu": 111, "volume_a3_per_cell": 130.0, "de_polymorph_ev_per_fu": 0.44, "space_group": "P4/mbm", "mass_density_g_cm3": 9.32, "lattice": [[7.0354, 0.0000, 0.0000], [0.0000, 7.0354, 0.0000], [0.0000, 0.0000, 2.6268]], "species": ["V", "V", "Fe", "Fe", "Fe", "Fe", "Ru", "Ru", "Ru", "Ru"], "fractional_positions": [[0.0000, 0.0000, 0.0000], [0.5000, 0.5000, 0.0000], [0.1690, 0.3310, 0.5000], [0.3310, 0.8310, 0.5000], [0.6690, 0.1690, 0.5000], [0.8310, 0.6690, 0.5000], [0.1291, 0.6291, 0.0000], [0.3709, 0.1291, 0.0000], [0.6291, 0.8709, 0.0000], [0.8709, 0.3709, 0.0000]]}

[3]
{"formula": "Mg2PRu", "functional": "PBE-GGA", "state": "relaxed", "formation_energy_kj_per_mol_fu": -1, "volume_a3_per_cell": 241.2, "space_group": "F-43m", "mass_density_g_cm3": 4.97, "lattice": [[6.2251, 0.0000, 0.0000], [0.0000, 6.2251, 0.0000], [0.0000, 0.0000, 6.2251]], "species": ["Mg", "Mg", "Mg", "Mg", "Mg", "Mg", "Mg", "Mg", "P", "P", "P", "P", "Ru", "Ru", "Ru", "Ru"], "fractional_positions": [[0.0000, 0.0000, 0.0000], [0.0000, 0.5000, 0.5000], [0.2500, 0.2500, 0.2500], [0.2500, 0.7500, 0.7500], [0.5000, 0.0000, 0.5000], [0.5000, 0.5000, 0.0000], [0.7500, 0.2500, 0.7500], [0.7500, 0.7500, 0.2500], [0.2500, 0.2500, 0.7500], [0.2500, 0.7500, 0.2500], [0.7500, 0.2500, 0.2500], [0.7500, 0.7500, 0.7500], [0.0000, 0.0000, 0.5000], [0.0000, 0.5000, 0.0000], [0.5000, 0.0000, 0.0000], [0.5000, 0.5000, 0.5000]]}

[4]
{"formula": "Hf6CoRu5", "functional": "PBE-GGA", "state": "relaxed", "formation_energy_kj_per_mol_fu": -846, "volume_a3_per_cell": 202.6, "space_group": "Immm", "mass_density_g_cm3": 13.40, "lattice": [[-2.2908, 3.2211, 6.8649], [2.2908, -3.2211, 6.8649], [2.2908, 3.2211, -6.8649]], "species": ["Hf", "Hf", "Hf", "Hf", "Hf", "Hf", "Co", "Ru", "Ru", "Ru", "Ru", "Ru"], "fractional_positions": [[0.0831, 0.3344, 0.7487], [0.2476, 0.0000, 0.2476], [0.4143, 0.6656, 0.7487], [0.5857, 0.3344, 0.2513], [0.7524, 0.0000, 0.7524], [0.9169, 0.6656, 0.2513], [0.0000, 0.5000, 0.5000], [0.1665, 0.1665, 0.0000], [0.3337, 0.8337, 0.5000], [0.5000, 0.5000, 0.0000], [0.6663, 0.1663, 0.5000], [0.8335, 0.8335, 0.0000]]}

[5]
{"formula": "Sn4Pd5Au2", "functional": "PBE-GGA", "state": "relaxed", "formation_energy_kj_per_mol_fu": -233, "volume_a3_per_cell": 221.0, "space_group": "Immm", "mass_density_g_cm3": 10.53, "lattice": [[-1.5701, 4.4581, 7.8916], [1.5701, -4.4581, 7.8916], [1.5701, 4.4581, -7.8916]], "species": ["Sn", "Sn", "Sn", "Sn", "Pd", "Pd", "Pd", "Pd", "Pd", "Au", "Au"], "fractional_positions": [[0.2293, 0.2293, 0.0000], [0.2530, 0.0000, 0.2530], [0.7470, 0.0000, 0.7470], [0.7707, 0.7707, 0.0000], [0.0000, 0.5000, 0.5000], [0.1085, 0.8241, 0.2844], [0.4602, 0.1759, 0.2844], [0.5398, 0.8241, 0.7156], [0.8915, 0.1759, 0.7156], [0.4115, 0.4115, 0.0000], [0.5885, 0.5885, 0.0000]]}

[6]
{"formula": "Sc2Sn3Hg3", "functional": "PBE-GGA", "state": "relaxed", "formation_energy_kj_per_mol_fu": -229, "volume_a3_per_cell": 184.4, "space_group": "Pmmm", "mass_density_g_cm3": 9.44, "lattice": [[4.5196, 0.0000, 0.0000], [0.0000, 4.6607, 0.0000], [0.0000, 0.0000, 8.7527]], "species": ["Sc", "Sc", "Sn", "Sn", "Sn", "Hg", "Hg", "Hg"], "fractional_positions": [[0.0000, 0.0000, 0.2454], [0.0000, 0.0000, 0.7546], [0.0000, 0.5000, 0.0000], [0.5000, 0.0000, 0.0000], [0.5000, 0.0000, 0.5000], [0.0000, 0.5000, 0.5000], [0.5000, 0.5000, 0.2550], [0.5000, 0.5000, 0.7450]]}

[7]
{"formula": "KTb2B2S6", "functional": "PBE-GGA", "state": "relaxed", "volume_a3_per_cell": 270.9, "formation_energy_uncorrected_ev_per_atom": -1.235, "space_group": "P-1", "mass_density_g_cm3": 3.50, "lattice": [[5.8164, 0.0000, 0.0000], [-1.7066, 5.5635, 0.0000], [-0.3588, -0.4688, 8.3711]], "species": ["K", "Tb", "Tb", "B", "B", "S", "S", "S", "S", "S", "S"], "fractional_positions": [[0.0000, 0.0000, 0.0000], [0.2518, 0.7482, 0.5002], [0.7482, 0.2518, 0.4998], [0.2638, 0.2634, 0.6571], [0.7362, 0.7366, 0.3429], [0.0976, 0.4404, 0.7559], [0.2447, 0.2449, 0.4349], [0.4406, 0.0966, 0.7559], [0.5594, 0.9034, 0.2441], [0.7553, 0.7551, 0.5651], [0.9024, 0.5596, 0.2441]]}

[8]
{"formula": "ScCr2Ge2", "functional": "PBE-GGA", "state": "relaxed", "formation_energy_kj_per_mol_fu": -32, "volume_a3_per_cell": 162.8, "de_polymorph_ev_per_fu": 0.82, "space_group": "I4/mmm", "mass_density_g_cm3": 6.00, "lattice": [[4.4312, 0.0000, 0.0000], [0.0000, 4.4312, 0.0000], [0.0000, 0.0000, 8.2924]], "species": ["Sc", "Sc", "Cr", "Cr", "Cr", "Cr", "Ge", "Ge", "Ge", "Ge"], "fractional_positions": [[0.0000, 0.0000, 0.0000], [0.5000, 0.5000, 0.5000], [0.0000, 0.0000, 0.3864], [0.0000, 0.0000, 0.6136], [0.5000, 0.5000, 0.1136], [0.5000, 0.5000, 0.8864], [0.0000, 0.5000, 0.2500], [0.0000, 0.5000, 0.7500], [0.5000, 0.0000, 0.2500], [0.5000, 0.0000, 0.7500]]}